1.
# LaGdZnRh

A relaxed LaGdZnRh crystal (PBE, the Alexandria database).

a b c (Å): 7.2055 7.2055 7.2055
angles (deg): 90.00 90.00 90.00
With the nearest neighbours (Å) after each atom.
Atoms (fractional coordinates):
La  0.0000  0.0000  0.0000  4 Zn 3.12, 4 Rh 3.12
La  0.0000  0.5000  0.5000  4 Zn 3.12, 4 Rh 3.12
La  0.5000  0.0000  0.5000  4 Zn 3.12, 4 Rh 3.12
La  0.5000  0.5000  0.0000  4 Zn 3.12, 4 Rh 3.12
Gd  0.0000  0.0000  0.5000  4 Rh 3.12, 4 Zn 3.12
Gd  0.0000  0.5000  0.0000  4 Rh 3.12, 4 Zn 3.12
Gd  0.5000  0.0000  0.0000  4 Rh 3.12, 4 Zn 3.12
Gd  0.5000  0.5000  0.5000  4 Rh 3.12, 4 Zn 3.12
Zn  0.2500  0.2500  0.7500  4 Gd 3.12, 4 La 3.12
Zn  0.2500  0.7500  0.2500  4 Gd 3.12, 4 La 3.12
Zn  0.7500  0.2500  0.2500  4 Gd 3.12, 4 La 3.12
Zn  0.7500  0.7500  0.7500  4 Gd 3.12, 4 La 3.12
Rh  0.2500  0.2500  0.2500  4 Gd 3.12, 4 La 3.12
Rh  0.2500  0.7500  0.7500  4 Gd 3.12, 4 La 3.12
Rh  0.7500  0.2500  0.7500  4 Gd 3.12, 4 La 3.12
Rh  0.7500  0.7500  0.2500  4 Gd 3.12, 4 La 3.12

Its space-group type is F-43m. The calculation puts the total energy at -29.677 eV per formula unit. Its mass density is 8247 kg/m³. As for the formation energy: -0.511 eV/atom.



2.
# LaGd3Ru

A relaxed LaGd3Ru crystal (PBE, the Alexandria database).

a b c (Å): 5.4583 5.4583 5.4583
angles (deg): 90.00 90.00 90.00
With the nearest neighbours (Å) after each atom.
Atoms (fractional coordinates):
La  0.0000  0.0000  0.0000  12 Gd 3.86
Gd  0.0000  0.5000  0.5000  2 Ru 2.73
Gd  0.5000  0.0000  0.5000  2 Ru 2.73
Gd  0.5000  0.5000  0.0000  2 Ru 2.73
Ru  0.5000  0.5000  0.5000  6 Gd 2.73

Its space-group type is Pm-3m. The calculation puts the total energy at -56.921 eV per formula unit. Its mass density is 7268 kg/m³. As for the formation energy: -0.095 eV/atom.



3.
# LaGdRu

A relaxed LaGdRu crystal (PBE, the Alexandria database).

a b c (Å): 6.9350 6.9350 6.9350
angles (deg): 90.00 90.00 90.00
With the nearest neighbours (Å) after each atom.
Atoms (fractional coordinates):
La  0.0000  0.0000  0.0000  4 Ru 3.00
La  0.0000  0.5000  0.5000  4 Ru 3.00
La  0.5000  0.0000  0.5000  4 Ru 3.00
La  0.5000  0.5000  0.0000  4 Ru 3.00
Gd  0.0000  0.0000  0.5000  4 Ru 3.00
Gd  0.0000  0.5000  0.0000  4 Ru 3.00
Gd  0.5000  0.0000  0.0000  4 Ru 3.00
Gd  0.5000  0.5000  0.5000  4 Ru 3.00
Ru  0.2500  0.2500  0.7500  4 Gd 3.00, 4 La 3.00
Ru  0.2500  0.7500  0.2500  4 Gd 3.00, 4 La 3.00
Ru  0.7500  0.2500  0.2500  4 Gd 3.00, 4 La 3.00
Ru  0.7500  0.7500  0.7500  4 Gd 3.00, 4 La 3.00

Its space-group type is F-43m. The calculation puts the total energy at -28.919 eV per formula unit. Its mass density is 7911 kg/m³. The offset from the most stable computed form is 13 meV/atom. As for the formation energy: -0.212 eV/atom.



4.
# LaGdRu

A relaxed LaGdRu crystal (PBE, the Alexandria database).

a b c (Å): 4.5536 4.5536 4.5261
angles (deg): 90.00 90.00 120.00
With the nearest neighbours (Å) after each atom.
Atoms (fractional coordinates):
La  0.0000  0.0000  0.0000  6 Ru 3.47, 6 Gd 3.47
Gd  0.6667  0.3333  0.5000  3 Ru 2.63
Ru  0.3333  0.6667  0.5000  3 Gd 2.63

Its space-group type is P-6m2. The calculation puts the total energy at -28.204 eV per formula unit. Its mass density is 8116 kg/m³. The offset from the most stable computed form is 251 meV/atom. As for the formation energy: 0.027 eV/atom.



5.
# La2GdRu

A relaxed La2GdRu crystal (PBE, the Alexandria database).

a b c (Å): 3.5976 3.5976 9.0727
angles (deg): 90.00 90.00 90.00
With the nearest neighbours (Å) after each atom.
Atoms (fractional coordinates):
La  0.0000  0.0000  0.1894  4 Ru 3.07, 1 La 3.44
La  0.0000  0.0000  0.8106  4 Ru 3.07, 1 La 3.44
Gd  0.5000  0.5000  0.5000  4 Gd 3.60, 8 La 3.80
Ru  0.5000  0.5000  0.0000  8 La 3.07

Its space-group type is P4/mmm. The calculation puts the total energy at -33.431 eV per formula unit. Its mass density is 7582 kg/m³. The offset from the most stable computed form is 0 meV/atom. As for the formation energy: -0.055 eV/atom.



6.
# LaGdRu

A relaxed LaGdRu crystal (PBE, the Alexandria database).

a b c (Å): 3.4835 3.4835 13.6499
angles (deg): 90.00 90.00 90.00
With the nearest neighbours (Å) after each atom.
Atoms (fractional coordinates):
La  0.0000  0.0000  0.0000  4 Ru 3.03, 1 Gd 3.39
La  0.5000  0.5000  0.5000  4 Ru 3.03, 1 Gd 3.39
Gd  0.0000  0.0000  0.7518  4 Ru 2.95
Gd  0.5000  0.5000  0.2518  4 Ru 2.95
Ru  0.0000  0.0000  0.3707  4 Gd 2.95, 4 La 3.03
Ru  0.5000  0.5000  0.8707  4 Gd 2.95, 4 La 3.03

Its space-group type is I4mm. The calculation puts the total energy at -28.958 eV per formula unit. Its mass density is 7964 kg/m³. The offset from the most stable computed form is 0 meV/atom. As for the formation energy: -0.225 eV/atom.



7.
# La2GdRu

A relaxed La2GdRu crystal (PBE, the Alexandria database).

a b c (Å): 3.8972 3.8972 31.4350
angles (deg): 90.00 90.00 120.00
With the nearest neighbours (Å) after each atom.
Atoms (fractional coordinates):
La  0.0000  0.0000  0.1136  3 Ru 2.80
La  0.0000  0.0000  0.8864  3 Ru 2.80
La  0.3333  0.6667  0.5531  3 Ru 2.80
La  0.3333  0.6667  0.7802  3 Ru 2.80
La  0.6667  0.3333  0.2198  3 Ru 2.80
La  0.6667  0.3333  0.4469  3 Ru 2.80
Gd  0.0000  0.0000  0.0000  2 La 3.57, 6 Gd 3.90
Gd  0.3333  0.6667  0.6667  2 La 3.57, 6 Gd 3.90
Gd  0.6667  0.3333  0.3333  2 La 3.57, 6 Gd 3.90
Ru  0.0000  0.0000  0.5000  6 La 2.80
Ru  0.3333  0.6667  0.1667  6 La 2.80
Ru  0.6667  0.3333  0.8333  6 La 2.80

Its space-group type is R-3m. The calculation puts the total energy at -32.787 eV per formula unit. Its mass density is 6459 kg/m³. The offset from the most stable computed form is 161 meV/atom. As for the formation energy: 0.106 eV/atom.



8.
# LaGdZnRu

A relaxed LaGdZnRu crystal (PBE, the Alexandria database).

a b c (Å): 7.1644 7.1644 7.1644
angles (deg): 90.00 90.00 90.00
With the nearest neighbours (Å) after each atom.
Atoms (fractional coordinates):
La  0.0000  0.0000  0.0000  4 Ru 3.10, 4 Zn 3.10
La  0.0000  0.5000  0.5000  4 Ru 3.10, 4 Zn 3.10
La  0.5000  0.0000  0.5000  4 Ru 3.10, 4 Zn 3.10
La  0.5000  0.5000  0.0000  4 Ru 3.10, 4 Zn 3.10
Gd  0.0000  0.0000  0.5000  4 Ru 3.10, 4 Zn 3.10
Gd  0.0000  0.5000  0.0000  4 Zn 3.10, 4 Ru 3.10
Gd  0.5000  0.0000  0.0000  4 Zn 3.10, 4 Ru 3.10
Gd  0.5000  0.5000  0.5000  4 Zn 3.10, 4 Ru 3.10
Zn  0.2500  0.2500  0.2500  4 Gd 3.10, 4 La 3.10
Zn  0.2500  0.7500  0.7500  4 Gd 3.10, 4 La 3.10
Zn  0.7500  0.2500  0.7500  4 Gd 3.10, 4 La 3.10
Zn  0.7500  0.7500  0.2500  4 Gd 3.10, 4 La 3.10
Ru  0.2500  0.2500  0.7500  4 Gd 3.10, 4 La 3.10
Ru  0.2500  0.7500  0.2500  4 Gd 3.10, 4 La 3.10
Ru  0.7500  0.2500  0.2500  4 Gd 3.10, 4 La 3.10
Ru  0.7500  0.7500  0.7500  4 La 3.10, 4 Gd 3.10

Its space-group type is F-43m. The calculation puts the total energy at -30.591 eV per formula unit. Its mass density is 8356 kg/m³. As for the formation energy: -0.258 eV/atom.



9.
# LaGdS2

A relaxed LaGdS2 crystal (PBE, the Alexandria database).

a b c (Å): 4.2955 4.2955 24.8118
angles (deg): 90.00 90.00 120.00
With the nearest neighbours (Å) after each atom.
Atoms (fractional coordinates):
La  0.0000  0.0000  0.0000  6 S 2.88
La  0.3333  0.6667  0.6667  6 S 2.88
La  0.6667  0.3333  0.3333  6 S 2.88
Gd  0.0000  0.0000  0.5000  2 S 2.67
Gd  0.3333  0.6667  0.1667  2 S 2.67
Gd  0.6667  0.3333  0.8333  2 S 2.67
S  0.0000  0.0000  0.3923  1 Gd 2.67, 3 La 2.88
S  0.0000  0.0000  0.6077  1 Gd 2.67, 3 La 2.88
S  0.3333  0.6667  0.0589  1 Gd 2.67, 3 La 2.88
S  0.3333  0.6667  0.2744  1 Gd 2.67, 3 La 2.88
S  0.6667  0.3333  0.7256  1 Gd 2.67, 3 La 2.88
S  0.6667  0.3333  0.9411  1 Gd 2.67, 3 La 2.88

As for the uncorrected formation energy: -1.6040 eV per atom. Its space-group type is R-3m. The calculation puts the total energy at -33.679 eV per formula unit. Its mass density is 4527 kg/m³.



10.
# LaGdS

A relaxed LaGdS crystal (PBE, the Alexandria database).

a b c (Å): 3.9550 3.9550 6.5231
angles (deg): 90.00 90.00 120.00
With the nearest neighbours (Å) after each atom.
Atoms (fractional coordinates):
La  0.0000  0.0000  0.0000  3 S 2.91
Gd  0.6667  0.3333  0.5184  3 S 2.78
S  0.3333  0.6667  0.2754  3 Gd 2.78, 3 La 2.91

As for the uncorrected formation energy: -1.2900 eV per atom. Its space-group type is P3m1. The calculation puts the total energy at -27.006 eV per formula unit. Its mass density is 6168 kg/m³.



11.
# LaGd2Sb

A relaxed LaGd2Sb crystal (PBE, the Alexandria database).

a b c (Å): 7.7577 7.7577 7.7577
angles (deg): 90.00 90.00 90.00
With the nearest neighbours (Å) after each atom.
Atoms (fractional coordinates):
La  0.0000  0.0000  0.0000  8 Gd 3.36
La  0.0000  0.5000  0.5000  8 Gd 3.36
La  0.5000  0.0000  0.5000  8 Gd 3.36
La  0.5000  0.5000  0.0000  8 Gd 3.36
Gd  0.2500  0.2500  0.2500  4 La 3.36, 4 Sb 3.36
Gd  0.2500  0.2500  0.7500  4 Sb 3.36, 4 La 3.36
Gd  0.2500  0.7500  0.2500  4 Sb 3.36, 4 La 3.36
Gd  0.2500  0.7500  0.7500  4 La 3.36, 4 Sb 3.36
Gd  0.7500  0.2500  0.2500  4 Sb 3.36, 4 La 3.36
Gd  0.7500  0.2500  0.7500  4 La 3.36, 4 Sb 3.36
Gd  0.7500  0.7500  0.2500  4 La 3.36, 4 Sb 3.36
Gd  0.7500  0.7500  0.7500  4 Sb 3.36, 4 La 3.36
Sb  0.0000  0.0000  0.5000  8 Gd 3.36
Sb  0.0000  0.5000  0.0000  8 Gd 3.36
Sb  0.5000  0.0000  0.0000  8 Gd 3.36
Sb  0.5000  0.5000  0.5000  8 Gd 3.36

As for the uncorrected formation energy: -0.3207 eV per atom. Its space-group type is Fm-3m. The calculation puts the total energy at -38.494 eV per formula unit. Its mass density is 8183 kg/m³. The offset from the most stable computed form is 234 meV/atom.



12.
# LaGdSb

A relaxed LaGdSb crystal (PBE, the Alexandria database).

a b c (Å): 5.1659 5.1659 4.2109
angles (deg): 90.00 90.00 120.00
With the nearest neighbours (Å) after each atom.
Atoms (fractional coordinates):
La  0.0000  0.0000  0.0000  3 Sb 3.40, 6 Gd 3.59-3.71
Gd  0.3333  0.6667  0.5234  3 Sb 3.04
Sb  0.6667  0.3333  0.3881  3 Gd 3.04

As for the uncorrected formation energy: -0.5302 eV per atom. Its space-group type is P3m1. The calculation puts the total energy at -24.721 eV per formula unit. Its mass density is 7131 kg/m³. The offset from the most stable computed form is 184 meV/atom.



13.
# LaGd2Sb

A relaxed LaGd2Sb crystal (PBE, the Alexandria database).

a b c (Å): 4.9168 4.9168 4.8438
angles (deg): 90.00 90.00 90.00
With the nearest neighbours (Å) after each atom.
Atoms (fractional coordinates):
La  0.0000  0.0000  0.0000  8 Gd 3.45, 4 Sb 3.48
Gd  0.0000  0.5000  0.5000  4 La 3.45, 4 Sb 3.45, 4 Gd 3.48
Gd  0.5000  0.0000  0.5000  4 La 3.45, 4 Sb 3.45, 4 Gd 3.48
Sb  0.5000  0.5000  0.0000  8 Gd 3.45, 4 La 3.48

As for the uncorrected formation energy: -0.5544 eV per atom. Its space-group type is P4/mmm. The calculation puts the total energy at -39.429 eV per formula unit. Its mass density is 8156 kg/m³. The offset from the most stable computed form is 0 meV/atom.



14.
# LaGd2Sb

A relaxed LaGd2Sb crystal (PBE, the Alexandria database).

a b c (Å): 4.0508 4.0508 7.4349
angles (deg): 90.00 90.00 90.00
With the nearest neighbours (Å) after each atom.
Atoms (fractional coordinates):
La  0.0000  0.0000  0.0000  8 Gd 3.57, 2 Sb 3.72
Gd  0.5000  0.5000  0.2864  1 Gd 3.18, 4 Sb 3.28
Gd  0.5000  0.5000  0.7136  1 Gd 3.18, 4 Sb 3.28
Sb  0.0000  0.0000  0.5000  8 Gd 3.28

As for the uncorrected formation energy: -0.5309 eV per atom. Its space-group type is P4/mmm. The calculation puts the total energy at -39.335 eV per formula unit. Its mass density is 7829 kg/m³. The offset from the most stable computed form is 23 meV/atom.



15.
# LaGdSb

A relaxed LaGdSb crystal (PBE, the Alexandria database).

a b c (Å): 4.1273 4.1273 10.7419
angles (deg): 90.00 90.00 90.00
With the nearest neighbours (Å) after each atom.
Atoms (fractional coordinates):
La  0.0000  0.0000  0.0000  1 Gd 3.20, 4 Sb 3.41
La  0.5000  0.5000  0.5000  1 Gd 3.20, 4 Sb 3.41
Gd  0.0000  0.0000  0.2975  1 La 3.20, 4 Sb 3.25
Gd  0.5000  0.5000  0.7975  1 La 3.20, 4 Sb 3.25
Sb  0.0000  0.0000  0.6642  4 Gd 3.25, 5 La 3.41-3.61
Sb  0.5000  0.5000  0.1642  4 Gd 3.25, 5 La 3.41-3.61

As for the uncorrected formation energy: -0.7139 eV per atom. Its space-group type is I4mm. The calculation puts the total energy at -25.272 eV per formula unit. Its mass density is 7585 kg/m³. The offset from the most stable computed form is 0 meV/atom.